DFT (meta-GGA SCAN) results for TaAl2SiPt at its PBEsol-relaxed geometry.

```
TaAl2SiPt
1.0
4.7533 0.0000 0.0000
0.0000 4.9718 0.0000
0.0000 0.0000 4.9718
Ta Al Pt Si
1 2 1 1
Direct
0.0000 0.0000 0.0000 Ta
0.0000 0.0000 0.5000 Al
0.0000 0.5000 0.0000 Al
0.5000 0.0000 0.0000 Pt
0.5000 0.5000 0.5000 Si
```

Properties
As for the formation energy (no corrections): 1.168 eV per atom.

***

DFT (meta-GGA SCAN) results for CaTiNb3 at its PBEsol-relaxed geometry.

```
CaTiNb3
1.0
-4.0011 1.3304 -2.0024
-2.0835 0.0208 4.1769
1.1995 4.4741 0.5760
Ca Ti Nb
1 1 3
Direct
0.0000 0.0000 0.0000 Ca
0.5000 0.5000 0.5000 Ti
0.5000 0.0000 0.0000 Nb
0.0000 0.0000 0.5000 Nb
0.0000 0.5000 0.0000 Nb
```

Properties
The calculation puts the formation energy at 11.1 eV per formula unit. The calculation puts the relative energy among the computed polymorphs at 6.00 eV per formula unit.

***

DFT (meta-GGA SCAN) results for NdZn3P3 at its PBEsol-relaxed geometry.

```
NdZn3P3
1.0
3.9920 0.0000 0.0000
-1.9960 3.4571 0.0000
0.0000 0.0000 19.7057
Nd P Zn
2 6 6
Direct
0.0000 0.0000 0.5000 Nd
0.0000 0.0000 0.0000 Nd
0.3333 0.6667 0.2500 P
0.6667 0.3333 0.7500 P
0.6667 0.3333 0.4116 P
0.6667 0.3333 0.0884 P
0.3333 0.6667 0.5884 P
0.3333 0.6667 0.9116 P
0.6667 0.3333 0.2500 Zn
0.6667 0.3333 0.8712 Zn
0.3333 0.6667 0.7500 Zn
0.3333 0.6667 0.3712 Zn
0.3333 0.6667 0.1288 Zn
0.6667 0.3333 0.6288 Zn
```

Properties
The calculation puts the formation energy at -4.8 eV per formula unit.

***

DFT (meta-GGA SCAN) results for YSc2Ag at its PBEsol-relaxed geometry.

```
YSc2Ag
1.0
3.5687 0.0000 0.0000
0.0000 4.9583 0.0000
-1.7844 -2.4792 5.1960
Y Sc Ag
1 2 1
Direct
0.5262 0.5262 0.0524 Y
0.7470 0.2470 0.4941 Sc
0.9680 0.9680 0.9359 Sc
0.2588 0.7588 0.5176 Ag
```

Properties
The calculation puts the formation energy at -0.5 eV per formula unit. The calculation puts the relative energy among the computed polymorphs at 0.15 eV per formula unit.

***

Number 1: volume 23.50 Å³/atom. Number 2: volume 20.34 Å³/atom. Number 3: volume 19.43 Å³/atom. Number 4: volume 22.99 Å³/atom.